DFT (PBE with a Hubbard U) results for a relaxed structure of Ca2CrH2I2O11. Values from VASP.

Structure (Quantum ESPRESSO input):
```
&SYSTEM
  ibrav = 0, nat = 72, ntyp = 5
/
ATOMIC_SPECIES
Ca 40.08 Ca.upf
Cr 52.00 Cr.upf
H 1.01 H.upf
I 126.90 I.upf
O 16.00 O.upf
CELL_PARAMETERS angstrom
10.247 0.000 0.000
0.000 7.357 0.000
-4.070 0.000 13.637
ATOMIC_POSITIONS angstrom
Ca 1.002 1.762 0.197
Ca -1.033 1.917 7.015
Ca 1.891 0.664 4.014
Ca -0.144 3.015 10.832
Ca 6.321 4.342 2.805
Ca 4.285 6.693 9.623
Ca 7.210 5.440 6.622
Ca 5.175 5.595 13.440
Cr 2.053 1.506 7.879
Cr 4.088 2.172 1.061
Cr 2.089 5.185 12.576
Cr 4.124 5.851 5.758
H 0.614 0.091 11.725
H 2.649 3.587 4.906
H 1.239 0.465 10.326
H 3.274 3.213 3.508
H 2.902 4.143 10.129
H 4.937 6.892 3.311
H 3.528 3.770 8.731
H 5.563 7.265 1.912
I -0.615 5.240 3.669
I -2.650 5.795 10.488
I 2.319 5.446 1.030
I 0.284 5.589 7.849
I 5.892 1.767 5.788
I 3.857 1.911 12.607
I 8.826 1.562 3.149
I 6.791 2.117 9.968
O -2.904 1.382 11.539
O -0.868 2.296 4.720
O 0.263 1.446 2.423
O -1.772 2.232 9.242
O -2.136 4.281 11.382
O -0.101 6.754 4.563
O -0.708 4.363 6.897
O 1.327 6.672 0.078
O 1.103 4.094 0.853
O -0.932 6.942 7.672
O -0.090 5.145 9.583
O 1.945 5.890 2.765
O 1.406 1.137 6.388
O -0.629 2.541 13.207
O 2.993 1.161 1.804
O 0.958 2.517 8.622
O 0.758 0.844 11.102
O 2.793 2.834 4.284
O 2.649 5.135 5.880
O 0.614 5.900 12.699
O 2.156 0.083 8.798
O 4.191 3.596 1.979
O 1.985 3.761 11.658
O 4.020 7.274 4.839
O 5.562 1.457 0.938
O 3.527 2.222 7.757
O 3.383 4.523 9.353
O 5.418 6.512 2.535
O 5.218 4.840 5.015
O 3.183 6.195 11.833
O 6.806 4.816 0.430
O 4.771 6.220 7.249
O 4.231 1.467 10.872
O 6.267 2.212 4.054
O 7.108 0.415 5.965
O 5.073 3.263 12.784
O 4.849 0.684 13.559
O 6.884 2.994 6.740
O 6.277 0.603 9.074
O 8.312 3.076 2.255
O 7.948 5.124 4.395
O 5.913 5.911 11.214
O 7.045 5.061 8.917
O 9.080 5.975 2.098
```

Properties
The value obtained for the density of states at the Fermi level is 0.000 states/eV per atom. The calculation puts the uncorrected energy at -401.36 eV per cell. The volume is 14.28 Å³/atom.